a.
Entry from the Alexandria database: a geometry-optimized Tb2MgHg8 structure (PBE).

Computed properties:
V   24.3 Å³ per atom
Symmetry   C2/m, No. 12
Crystal system   monoclinic

a = 4.8026 Å, b = 6.8730 Å, c = 8.8762 Å
α = 108.06°, β = 105.70°, γ = 90.00°
Closest atoms and distances in Å follow each position.
Fractional positions:
Mg: 0.5000 0.0000 0.0000  8 Hg 2.87-3.12
Hg: 0.3939 0.5812 0.7877  1 Mg 2.87, 5 Hg 3.02-3.20, 2 Tb 3.19
Hg: 0.3524 0.1188 0.7048  1 Mg 2.89, 5 Hg 3.02-3.19, 3 Tb 3.15-3.19
Hg: 0.6476 0.8812 0.2952  1 Mg 2.89, 5 Hg 3.02-3.19, 3 Tb 3.15-3.19
Hg: 0.6061 0.4188 0.2123  1 Mg 2.87, 5 Hg 3.02-3.20, 2 Tb 3.19
Hg: 0.9802 0.2692 0.9604  7 Hg 3.02-3.34, 2 Mg 3.12
Hg: 0.1625 0.1858 0.3250  7 Hg 3.14-3.42, 3 Tb 3.15-3.22
Hg: 0.0198 0.7308 0.0396  7 Hg 3.02-3.34, 2 Mg 3.12
Hg: 0.8375 0.8142 0.6750  7 Hg 3.14-3.42, 3 Tb 3.15-3.22
Tb: 0.2125 0.6796 0.4251  10 Hg 3.15-3.42
Tb: 0.7875 0.3204 0.5749  10 Hg 3.15-3.42

b.
Entry from the Alexandria database: a geometry-optimized Tb2MgHg8 structure (PBE).

Computed properties:
V   24.8 Å³ per atom
Symmetry   P4/mmm, No. 123
Crystal system   tetragonal

a = 4.6102 Å, b = 4.6102 Å, c = 12.8255 Å
α = 90.00°, β = 90.00°, γ = 90.00°
Closest atoms and distances in Å follow each position.
Fractional positions:
Mg: 0.0000 0.0000 0.0000  8 Hg 2.90
Hg: 0.5000 0.0000 0.1366  2 Mg 2.90, 2 Tb 3.23
Hg: 0.0000 0.5000 0.1366  2 Mg 2.90, 2 Tb 3.23
Hg: 0.5000 0.0000 0.5000  8 Hg 3.26-3.27, 4 Tb 3.32
Hg: 0.0000 0.5000 0.8634  2 Mg 2.90, 2 Tb 3.23
Hg: 0.0000 0.5000 0.5000  8 Hg 3.26-3.27, 4 Tb 3.32
Hg: 0.5000 0.0000 0.8634  2 Mg 2.90, 2 Tb 3.23
Hg: 0.5000 0.5000 0.6807  4 Tb 3.26, 8 Hg 3.27-3.29
Hg: 0.5000 0.5000 0.3193  4 Tb 3.26, 8 Hg 3.27-3.29
Tb: 0.0000 0.0000 0.6866  12 Hg 3.23-3.32
Tb: 0.0000 0.0000 0.3134  12 Hg 3.23-3.32

Referenced to the most stable arrangement, the calculated values in eV/atom are a 0.020; b 0.000.